Record 1
DFT (PBE-GGA) results for a geometry-optimized EuZrOs4 structure.

Cell and atoms, written as POSCAR:
```
EuZrOs4
1.0
0.0000 3.7664 3.7664
3.7664 0.0000 3.7664
3.7664 3.7664 0.0000
Eu Zr Os
1 1 4
Direct
0.0000 0.0000 0.0000
0.2500 0.2500 0.2500
0.1259 0.6247 0.6247
0.6247 0.1259 0.6247
0.6247 0.6247 0.1259
0.6247 0.6247 0.6247
```

Output
crystal system	cubic

=====

Record 2
DFT (PBE-GGA) results for a geometry-optimized Eu3P structure.

Cell and atoms, written as POSCAR:
```
Eu3P
1.0
-1.8958 2.5107 6.8916
1.8958 -2.5107 6.8916
1.8958 2.5107 -6.8916
Eu P
3 1
Direct
0.0000 0.0000 0.0000
0.3316 0.8316 0.5000
0.6684 0.1684 0.5000
0.5000 0.5000 0.0000
```

Output
energy above the most stable polymorph in this dataset	0.0	meV per atom
crystal system	orthorhombic

=====

Record 3
DFT (PBE-GGA) results for a geometry-optimized Eu3P structure.

Cell and atoms, written as POSCAR:
```
Eu3P
1.0
7.0790 0.0000 0.0000
-3.5395 6.1306 0.0000
0.0000 0.0000 5.1680
Eu P
6 2
Direct
0.1812 0.3624 0.2500
0.1812 0.8188 0.2500
0.3624 0.1812 0.7500
0.6376 0.8188 0.2500
0.8188 0.1812 0.7500
0.8188 0.6376 0.7500
0.3333 0.6667 0.7500
0.6667 0.3333 0.2500
```

Output
energy above the most stable polymorph in this dataset	133.5	meV per atom
crystal system	hexagonal

=====

no.,V (Å³ per cell),E_form (eV per atom),total magnetic moment (μB/f.u.)
1,107,-0.0570,6.227
2,131,-0.5567,7.897
3,224,-0.4232,22.448